one | Compound: SrVP2O
Source: Alexandria
Functional: GGA+U
Structure: optimized geometry Values from VASP.

theoretical density	2.8	Mg/m³
calculated volume	25.94	Å³ per atom

Geometry as Quantum ESPRESSO input:
```
&SYSTEM
  ibrav = 0, nat = 5, ntyp = 4
/
ATOMIC_SPECIES
P 30.97 P.upf
Sr 87.62 Sr.upf
V 50.94 V.upf
O 16.00 O.upf
CELL_PARAMETERS angstrom
5.4826 0.0000 0.0000
0.0000 5.4826 0.0000
0.0000 0.0000 4.3147
ATOMIC_POSITIONS crystal
P 0.0000 0.5000 0.0000
Sr 0.0000 0.0000 0.0000
V 0.5000 0.5000 0.5000
P 0.5000 0.0000 0.0000
O 0.0000 0.0000 0.5000
```

***

two | Compound: SrVP2O
Source: Alexandria
Functional: GGA+U
Structure: optimized geometry Values from VASP.

theoretical density	4.0	Mg/m³
calculated volume	17.95	Å³ per atom

Geometry as Quantum ESPRESSO input:
```
&SYSTEM
  ibrav = 0, nat = 5, ntyp = 4
/
ATOMIC_SPECIES
P 30.97 P.upf
Sr 87.62 Sr.upf
O 16.00 O.upf
V 50.94 V.upf
CELL_PARAMETERS angstrom
4.8716 0.0000 0.0000
0.0000 4.8716 0.0000
0.0000 0.0000 3.7815
ATOMIC_POSITIONS crystal
P 0.5000 0.0000 0.0000
P 0.0000 0.5000 0.0000
Sr 0.5000 0.5000 0.5000
O 0.0000 0.0000 0.5000
V 0.0000 0.0000 0.0000
```

***

It is one that is the least stable of them.

***

one | Compound: SrVPO6
Source: Alexandria
Functional: GGA+U
Structure: optimized geometry Values from VASP.

theoretical density	4.0	Mg/m³
calculated volume	12.30	Å³ per atom

Geometry as Quantum ESPRESSO input:
```
&SYSTEM
  ibrav = 0, nat = 9, ntyp = 4
/
ATOMIC_SPECIES
O 16.00 O.upf
V 50.94 V.upf
Sr 87.62 Sr.upf
P 30.97 P.upf
CELL_PARAMETERS angstrom
-1.8340 4.4701 0.5936
-4.4035 1.0794 -1.7726
-2.2509 -1.5413 4.6532
ATOMIC_POSITIONS crystal
O 0.0262 0.6004 0.6853
V 0.6666 0.6667 0.5000
Sr 0.0000 0.0000 0.0000
O 0.0262 0.3734 0.3147
O 0.6003 0.3734 0.6853
O 0.3734 0.6004 0.3147
O 0.6003 0.0262 0.3147
O 0.3734 0.0262 0.6853
P 0.3333 0.3333 0.5000
```

***

two | Compound: SrVPO6
Source: Alexandria
Functional: GGA+U
Structure: optimized geometry Values from VASP.

theoretical density	3.7	Mg/m³
calculated volume	13.24	Å³ per atom

Geometry as Quantum ESPRESSO input:
```
&SYSTEM
  ibrav = 0, nat = 36, ntyp = 4
/
ATOMIC_SPECIES
O 16.00 O.upf
Sr 87.62 Sr.upf
P 30.97 P.upf
V 50.94 V.upf
CELL_PARAMETERS angstrom
9.8790 0.0000 0.0000
0.0000 5.6197 0.0091
0.0000 0.2735 8.5861
ATOMIC_POSITIONS crystal
O 0.8622 0.9142 0.8289
O 0.0329 0.5248 0.2715
O 0.1587 0.2545 0.8796
Sr 0.6883 0.1352 0.0702
O 0.8413 0.7455 0.1204
O 0.3622 0.0858 0.6711
O 0.9234 0.3179 0.0340
P 0.8949 0.6631 0.2866
O 0.5738 0.8757 0.8859
P 0.6051 0.6631 0.7866
O 0.9262 0.8757 0.3859
O 0.9671 0.4752 0.7285
O 0.6378 0.9142 0.3289
Sr 0.3117 0.8648 0.9298
O 0.1378 0.0858 0.1711
O 0.0766 0.6821 0.9660
O 0.2855 0.5048 0.1372
O 0.7855 0.4952 0.3628
V 0.4085 0.3448 0.5880
V 0.9085 0.6552 0.9120
O 0.4671 0.5248 0.7715
O 0.4262 0.1243 0.1141
O 0.5766 0.3179 0.5340
O 0.7145 0.4952 0.8628
P 0.3949 0.3369 0.2134
O 0.4234 0.6821 0.4660
Sr 0.1883 0.8648 0.4298
O 0.2145 0.5048 0.6372
O 0.6587 0.7455 0.6204
O 0.0738 0.1243 0.6141
V 0.0915 0.3448 0.0880
P 0.1051 0.3369 0.7134
V 0.5915 0.6552 0.4120
O 0.5329 0.4752 0.2285
O 0.3413 0.2545 0.3796
Sr 0.8117 0.1352 0.5702
```

***

It is one that is the least stable of them.